# 1
VASP calculation (PBE) on an optimized crystal structure of NdSiIr3.

Cell: 4.1109 4.1109 5.3082 Å, 90.00 90.00 90.00°
Positions (direct):
Ir  0.0000  0.5000  0.4684
Ir  0.5000  0.0000  0.4684
Si  0.5000  0.5000  0.7122
Ir  0.5000  0.5000  0.1447
Nd  0.0000  0.0000  0.9741

M_tot ... 0.00 Bohr magnetons per cell
DFT total energy ... -39.99 eV/cell
ρ ... 13.86 g cm⁻³
Symmetry ... No. 99
V ... 90 Å³/f.u.
Crystal system ... tetragonal

# 2
VASP calculation (PBE) on an optimized crystal structure of NdSi2Ir.

Cell: 5.7060 4.0889 6.4674 Å, 90.00 90.01 90.00°
Positions (direct):
Nd  0.3759  0.7500  0.7503
Si  0.8495  0.7500  0.9609
Si  0.1504  0.2500  0.4611
Nd  0.6241  0.2500  0.2497
Ir  0.1216  0.7500  0.2499
Ir  0.8784  0.2500  0.7501
Si  0.8496  0.7500  0.5389
Si  0.1505  0.2500  0.0391

M_tot ... 0.00 Bohr magnetons per cell
DFT total energy ... -56.28 eV/cell
ρ ... 8.64 g cm⁻³
Symmetry ... No. 59
V ... 75 Å³/f.u.
Crystal system ... orthorhombic

# 3
VASP calculation (PBE) on an optimized crystal structure of NdSi2Ir.

Cell: 4.1895 6.0527 5.9035 Å, 90.00 90.00 90.00°
Positions (direct):
Si  0.0000  0.1206  0.0949
Si  0.5000  0.8794  0.5949
Si  0.0000  0.7766  0.3641
Nd  0.0000  0.6051  0.8696
Ir  0.5000  0.9084  0.1714
Si  0.5000  0.2234  0.8641
Nd  0.5000  0.3949  0.3696
Ir  0.0000  0.0916  0.6714

M_tot ... 0.00 Bohr magnetons per cell
DFT total energy ... -54.51 eV/cell
ρ ... 8.71 g cm⁻³
Symmetry ... No. 31
V ... 75 Å³/f.u.
Crystal system ... orthorhombic

# 4
VASP calculation (PBE) on an optimized crystal structure of NdSi2TcIr.

Cell: 5.7661 5.7661 5.7661 Å, 136.90 136.90 62.59°
Positions (direct):
Ir  0.0000  0.0000  0.0000
Tc  0.5000  0.5000  0.0000
Si  0.8818  0.3818  0.5000
Si  0.6182  0.1182  0.5000
Nd  0.2500  0.7500  0.5000

M_tot ... 0.00 Bohr magnetons per cell
DFT total energy ... -39.20 eV/cell
ρ ... 9.21 g cm⁻³
Symmetry ... No. 119
V ... 88 Å³/f.u.
Crystal system ... tetragonal

# 5
VASP calculation (PBE) on an optimized crystal structure of NdTmSi4Ir2.

Cell: 2.9778 15.2771 15.2771 Å, 15.55 90.00 90.00°
Positions (direct):
Si  0.0000  0.3547  0.3547
Tm  0.0000  0.4454  0.4454
Si  0.0000  0.2714  0.2714
Nd  0.0000  0.5525  0.5525
Si  0.0000  0.7293  0.7293
Si  0.0000  0.6466  0.6466
Ir  0.0000  0.1908  0.1908
Ir  0.0000  0.8093  0.8093

M_tot ... 0.00 Bohr magnetons per cell
DFT total energy ... -45.96 eV/cell
ρ ... 7.22 g cm⁻³
Symmetry ... No. 38
V ... 186 Å³/f.u.
Crystal system ... orthorhombic

# 6
VASP calculation (PBE) on an optimized crystal structure of NdSm3Ir8.

Cell: 9.3641 9.3641 9.3641 Å, 33.55 33.55 33.55°
Positions (direct):
Nd  0.8751  0.8751  0.8751
Ir  0.4369  0.9374  0.9374
Sm  0.0001  0.0001  0.0001
Ir  0.6875  0.6875  0.6875
Ir  0.9374  0.9374  0.4369
Ir  0.4377  0.9380  0.4377
Sm  0.3750  0.3750  0.3750
Ir  0.1875  0.1875  0.1875
Ir  0.9380  0.4377  0.4377
Sm  0.4999  0.4999  0.4999
Ir  0.4377  0.4377  0.9380
Ir  0.9374  0.4369  0.9374

ΔE_f ... -0.74 eV per atom
M_tot ... 0.00 Bohr magnetons per cell
DFT total energy ... -98.58 eV/cell
ρ ... 15.86 g cm⁻³
Symmetry ... No. 160
V ... 223 Å³/f.u.
Crystal system ... trigonal

Q: Which value of M_tot does entry 5 give?
A: 0.00 Bohr magnetons per cell

Q: ρ of number 2 (NdSi2Ir)?
A: 8.64 g cm⁻³